DFT (PBE) results for a geometry-optimized Pu2TcO structure.

Cell: 3.149 3.149 6.882 Å, 90.00 90.00 90.00°
Last column: magnetic moment on the atom in μB.
Fractional coordinates of all 4 atoms:
Pu 0.000 0.000 0.772  5.16
Pu 0.000 0.000 0.228  5.16
Tc 0.500 0.500 0.500  -1.04
O 0.500 0.500 0.000  -0.07

**E_form (uncorrected)**: -0.824 eV/atom
**Mass density**: 14.65 Mg/m³
**Space group**: P4/mmm
**V**: 68.3 Å³ per cell
**Magnetic moment**: 9.45 μB per formula unit
**VASP energy**: -47.28 eV per cell